VASP calculation (PBE) on crystalline SrNiP at its relaxed geometry.

The structure in extended XYZ format:
```
3
Lattice="0.000 3.151 3.151 3.151 0.000 3.151 3.151 3.151 0.000" Properties=species:S:1:pos:R:3 pbc="T T T"
Sr 3.151 3.151 3.151
Ni 1.576 1.576 1.576
P 0.000 0.000 0.000
```

## Properties
DFT total energy: -4.52 eV/atom
M_tot: 0.2413 μB per atom
formation energy: -22 kJ per mole of atoms